No. 1
# SmInI2 | Alexandria | GGA-PBE | optimized geometry
# Formation energy from raw total energies in kJ/mol of atoms: -72.4
# Size of the total moment in μB per atom: 0.000
# Total DFT energy (no corrections) in eV/f.u.: -13.56
# D(E_F) in states/eV/cell: 7.79
data_SmInI2
_cell_length_a 3.9743
_cell_length_b 3.9743
_cell_length_c 34.0096
_cell_angle_alpha 90.00
_cell_angle_beta 90.00
_cell_angle_gamma 120.00
_symmetry_space_group_name_H-M 'R -3 m'
_symmetry_Int_Tables_number 166
_symmetry_space_group_name_Hall '-R 3 2"'
loop_
_atom_site_label
_atom_site_type_symbol
_atom_site_fract_x
_atom_site_fract_y
_atom_site_fract_z
Sm1 Sm 0.0000 0.0000 0.0000
In1 In 0.0000 0.0000 0.5000
I1 I 0.0000 0.0000 0.3968

***

No. 2
# Nb6Ga2H | Alexandria | GGA-PBE | optimized geometry
# Size of the total moment in μB per atom: 0.000
# Total DFT energy (no corrections) in eV/f.u.: -71.27
# D(E_F) in states/eV/cell: 11.53
data_Nb6Ga2H
_cell_length_a 5.467
_cell_length_b 6.182
_cell_length_c 10.164
_cell_angle_alpha 90.00
_cell_angle_beta 122.53
_cell_angle_gamma 90.00
_symmetry_space_group_name_H-M 'P 1 21/c 1'
_symmetry_Int_Tables_number 14
loop_
_symmetry_equiv_pos_as_xyz
'x,y,z'
'-x,-y,-z'
'-x,y+1/2,-z+1/2'
'x,-y+1/2,z+1/2'
loop_
_atom_site_label
_atom_site_type_symbol
_atom_site_fract_x
_atom_site_fract_y
_atom_site_fract_z
Nb1 Nb 0.098 0.225 0.473
Nb2 Nb 0.340 0.709 0.473
Nb3 Nb 0.371 0.012 0.250
Ga1 Ga 0.146 0.087 0.747
H1 H 0.500 0.000 0.500

***

No. 3
# TlCdN3 | Alexandria | GGA-PBE | optimized geometry
# Formation energy from raw total energies in kJ/mol of atoms: 203.6
# Size of the total moment in μB per atom: 0.964
# Total DFT energy (no corrections) in eV/f.u.: -17.71
# D(E_F) in states/eV/cell: 1.75
data_TlCdN3
_cell_length_a 4.374
_cell_length_b 4.374
_cell_length_c 4.374
_cell_angle_alpha 90.00
_cell_angle_beta 90.00
_cell_angle_gamma 90.00
_symmetry_space_group_name_H-M 'P m -3 m'
_symmetry_Int_Tables_number 221
_symmetry_space_group_name_Hall '-P 4 2 3'
loop_
_atom_site_label
_atom_site_type_symbol
_atom_site_fract_x
_atom_site_fract_y
_atom_site_fract_z
Tl1 Tl 0.000 0.000 0.000
Cd1 Cd 0.500 0.500 0.500
N1 N 0.000 0.500 0.500

***

No. 4
# AcPmPrIn | Alexandria | GGA-PBE | optimized geometry
# Size of the total moment in μB per atom: 0.301
# Total DFT energy (no corrections) in eV/f.u.: -16.77
# D(E_F) in states/eV/cell: 25.11
# Energy of formation in eV per atom: -0.0987
# Polymorph energy (0 for the lowest one) in meV/atom: 0.0
data_AcPmPrIn
_cell_length_a 8.166
_cell_length_b 8.166
_cell_length_c 8.166
_cell_angle_alpha 90.00
_cell_angle_beta 90.00
_cell_angle_gamma 90.00
_symmetry_space_group_name_H-M 'F -4 3 m'
_symmetry_Int_Tables_number 216
_symmetry_space_group_name_Hall 'F -4 2 3'
loop_
_atom_site_label
_atom_site_type_symbol
_atom_site_fract_x
_atom_site_fract_y
_atom_site_fract_z
Ac1 Ac 0.000 0.000 0.000
Pm1 Pm 0.250 0.250 0.750
Pr1 Pr 0.000 0.000 0.500
In1 In 0.250 0.250 0.250

***

No. 5
# Li2CoRe2 | Alexandria | GGA-PBE | optimized geometry
# Size of the total moment in μB per atom: 0.000
# Total DFT energy (no corrections) in eV/f.u.: -31.41
# D(E_F) in states/eV/cell: 20.31
# Energy of formation in eV per atom: 0.8841
# Polymorph energy (0 for the lowest one) in meV/atom: 237.2
data_Li2CoRe2
_cell_length_a 7.237
_cell_length_b 7.237
_cell_length_c 2.616
_cell_angle_alpha 90.00
_cell_angle_beta 90.00
_cell_angle_gamma 90.00
_symmetry_space_group_name_H-M 'P 4/m b m'
_symmetry_Int_Tables_number 127
_symmetry_space_group_name_Hall '-P 4 2ab'
loop_
_atom_site_label
_atom_site_type_symbol
_atom_site_fract_x
_atom_site_fract_y
_atom_site_fract_z
Li1 Li 0.182 0.318 0.000
Co1 Co 0.000 0.000 0.500
Re1 Re 0.115 0.615 0.500

***

No. 6
# La6PrGa | Alexandria | GGA-PBE | optimized geometry
# Size of the total moment in μB per atom: 0.000
# Total DFT energy (no corrections) in eV/f.u.: -35.62
# D(E_F) in states/eV/cell: 14.82
# Energy of formation in eV per atom: 0.2193
data_La6PrGa
_cell_length_a 7.028
_cell_length_b 7.037
_cell_length_c 8.101
_cell_angle_alpha 64.34
_cell_angle_beta 64.90
_cell_angle_gamma 60.27
_symmetry_space_group_name_H-M 'P -1'
_symmetry_Int_Tables_number 2
loop_
_symmetry_equiv_pos_as_xyz
'x,y,z'
'-x,-y,-z'
loop_
_atom_site_label
_atom_site_type_symbol
_atom_site_fract_x
_atom_site_fract_y
_atom_site_fract_z
La1 La 0.053 0.254 0.257
La2 La 0.243 0.061 0.742
La3 La 0.436 0.548 0.259
Pr1 Pr 0.500 0.000 0.000
Ga1 Ga 0.000 0.500 0.500

***

No. 7
# TlWBr2 | Alexandria | GGA-PBE | optimized geometry
# Formation energy from raw total energies in kJ/mol of atoms: 38.8
# Size of the total moment in μB per atom: 0.000
# Total DFT energy (no corrections) in eV/f.u.: -17.06
# D(E_F) in states/eV/cell: 6.15
# Polymorph energy (0 for the lowest one) in meV/atom: 151.0
data_TlWBr2
_cell_length_a 3.2843
_cell_length_b 3.2843
_cell_length_c 31.9997
_cell_angle_alpha 90.00
_cell_angle_beta 90.00
_cell_angle_gamma 120.00
_symmetry_space_group_name_H-M 'R -3 m'
_symmetry_Int_Tables_number 166
_symmetry_space_group_name_Hall '-R 3 2"'
loop_
_atom_site_label
_atom_site_type_symbol
_atom_site_fract_x
_atom_site_fract_y
_atom_site_fract_z
Tl1 Tl 0.0000 0.0000 0.0000
W1 W 0.0000 0.0000 0.5000
Br1 Br 0.0000 0.0000 0.4245

***

No. 8
# Ho5Tm6Sc2 | Alexandria | GGA-PBE | optimized geometry
# Size of the total moment in μB per atom: 0.000
# Total DFT energy (no corrections) in eV/f.u.: -60.87
# D(E_F) in states/eV/cell: 33.86
# Energy of formation in eV per atom: 0.1166
data_Ho5Tm6Sc2
_cell_length_a 11.260
_cell_length_b 19.916
_cell_length_c 3.495
_cell_angle_alpha 90.00
_cell_angle_beta 90.00
_cell_angle_gamma 90.00
_symmetry_space_group_name_H-M 'P b a m'
_symmetry_Int_Tables_number 55
loop_
_symmetry_equiv_pos_as_xyz
'x,y,z'
'-x,-y,-z'
'-x,-y,z'
'x,y,-z'
'x+1/2,-y+1/2,-z'
'-x+1/2,y+1/2,z'
'-x+1/2,y+1/2,-z'
'x+1/2,-y+1/2,z'
loop_
_atom_site_label
_atom_site_type_symbol
_atom_site_fract_x
_atom_site_fract_y
_atom_site_fract_z
Ho1 Ho 0.000 0.000 0.000
Ho2 Ho 0.079 0.271 0.000
Ho3 Ho 0.196 0.553 0.000
Tm1 Tm 0.062 0.418 0.500
Tm2 Tm 0.085 0.131 0.500
Tm3 Tm 0.171 0.856 0.000
Sc1 Sc 0.172 0.707 0.500

***

No. 9
# Ta2MnTc | Alexandria | GGA-PBE | optimized geometry
# Size of the total moment in μB per atom: 0.421
# Total DFT energy (no corrections) in eV/f.u.: -43.18
# D(E_F) in states/eV/cell: 8.80
# Energy of formation in eV per atom: 0.0164
data_Ta2MnTc
_cell_length_a 3.248
_cell_length_b 4.519
_cell_length_c 8.582
_cell_angle_alpha 90.00
_cell_angle_beta 90.00
_cell_angle_gamma 90.00
_symmetry_space_group_name_H-M 'C m m 2'
_symmetry_Int_Tables_number 35
loop_
_symmetry_equiv_pos_as_xyz
'x,y,z'
'-x,-y,z'
'-x,y,z'
'x,-y,z'
'x+1/2,y+1/2,z'
'-x+1/2,-y+1/2,z'
'-x+1/2,y+1/2,z'
'x+1/2,-y+1/2,z'
loop_
_atom_site_label
_atom_site_type_symbol
_atom_site_fract_x
_atom_site_fract_y
_atom_site_fract_z
Ta1 Ta 0.000 0.000 0.000
Ta2 Ta 0.000 0.500 0.279
Mn1 Mn 0.000 0.000 0.522
Tc1 Tc 0.000 0.500 0.742

***

No. 10
# MgSn2Ir | Alexandria | GGA-PBE | optimized geometry
# Size of the total moment in μB per atom: 0.000
# Total DFT energy (no corrections) in eV/f.u.: -18.79
# D(E_F) in states/eV/cell: 8.55
# Energy of formation in eV per atom: -0.0821
data_MgSn2Ir
_cell_length_a 8.849
_cell_length_b 8.849
_cell_length_c 5.162
_cell_angle_alpha 90.00
_cell_angle_beta 90.00
_cell_angle_gamma 90.00
_symmetry_space_group_name_H-M 'I -4 2 d'
_symmetry_Int_Tables_number 122
_symmetry_space_group_name_Hall 'I -4 2bw'
loop_
_atom_site_label
_atom_site_type_symbol
_atom_site_fract_x
_atom_site_fract_y
_atom_site_fract_z
Mg1 Mg 0.000 0.000 0.000
Sn1 Sn 0.145 0.250 0.625
Ir1 Ir 0.000 0.000 0.500